Density functional theory data (PBE) for crystalline In2RuCl at its relaxed geometry.

Unit cell a=3.2323 b=3.2323 c=8.2599 alpha=90.00 beta=90.00 gamma=90.00
With the nearest neighbours (Å) after each atom.
Space group P4mm (No. 99)
Unique sites:
In1 0.0000 0.0000 0.0000  8 In 3.23-3.41, 4 Cl 3.39
In2 0.5000 0.5000 0.3061  4 Ru 2.77
Ru1 0.0000 0.0000 0.4945  4 In 2.77, 4 Cl 2.83
Cl1 0.5000 0.5000 0.6967  4 Ru 2.83

Values from the calculation:
offset from the most stable computed form = 511 meV per atom
formation energy from raw total energies = 219.9 meV/atom
N(E_F) = 0.72 states/eV per atom